No. 1
{
  "formula": "HfGa3Ni",
  "functional": "GGA-PBE",
  "state": "relaxed",
  "lattice": [[5.132, 0.000, 0.000], [0.000, 5.132, 0.000], [0.000, 0.000, 5.132]],
  "species": ["Hf", "Ga", "Ga", "Ga", "Ni"],
  "fractional_positions": [[0.000, 0.000, 0.000], [0.000, 0.000, 0.500], [0.000, 0.500, 0.000], [0.500, 0.000, 0.000], [0.500, 0.500, 0.500]],
  "space_group": "Pm-3m (221)",
  "vol_a3_per_cell": 135.1,
  "ef_mev_per_atom": 1092.7,
  "magmom_total_mub_per_atom": 0.12
}

---

No. 2
{
  "formula": "HfGa2Ni2",
  "functional": "GGA-PBE",
  "state": "relaxed",
  "lattice": [[7.258, 0.000, 0.000], [0.000, 7.258, 0.000], [0.000, 0.000, 2.717]],
  "species": ["Hf", "Hf", "Ga", "Ga", "Ga", "Ga", "Ni", "Ni", "Ni", "Ni"],
  "fractional_positions": [[0.000, 0.000, 0.000], [0.500, 0.500, 0.000], [0.129, 0.371, 0.000], [0.371, 0.871, 0.000], [0.629, 0.129, 0.000], [0.871, 0.629, 0.000], [0.169, 0.669, 0.500], [0.331, 0.169, 0.500], [0.669, 0.831, 0.500], [0.831, 0.331, 0.500]],
  "space_group": "P4/mbm (127)",
  "vol_a3_per_cell": 143.1,
  "ef_mev_per_atom": -334.7,
  "magmom_total_mub_per_atom": 0.00
}